The following is a PBE calculation of crystalline Rb2Sb2Pt at its relaxed geometry, from Alexandria. Values from VASP.

Computed properties:
SG   Immm (71)
Uncorrected formation energy   -0.427 eV/atom
Final energy   -3.672 eV/atom

Cell and atoms, written as Quantum ESPRESSO input:
```
&SYSTEM
  ibrav = 0, nat = 5, ntyp = 3
/
ATOMIC_SPECIES
Rb 85.47 Rb.upf
Sb 121.76 Sb.upf
Pt 195.08 Pt.upf
CELL_PARAMETERS angstrom
-2.231 3.390 5.843
2.231 -3.390 5.843
2.231 3.390 -5.843
ATOMIC_POSITIONS angstrom
Rb 0.000 0.000 2.358
Rb 0.000 0.000 9.328
Sb 2.231 1.887 0.000
Sb 0.000 1.504 5.843
Pt 0.000 3.390 0.000
```

The following is a PBE calculation of crystalline Rb2SbPt at its relaxed geometry, from Alexandria. Values from VASP.

Computed properties:
SG   C2/m (12)
Uncorrected formation energy   -0.376 eV/atom
Final energy   -3.401 eV/atom

Cell and atoms, written as Quantum ESPRESSO input:
```
&SYSTEM
  ibrav = 0, nat = 4, ntyp = 3
/
ATOMIC_SPECIES
Rb 85.47 Rb.upf
Sb 121.76 Sb.upf
Pt 195.08 Pt.upf
CELL_PARAMETERS angstrom
5.299 -3.054 0.000
5.299 3.054 0.000
-0.013 0.000 5.019
ATOMIC_POSITIONS angstrom
Rb 1.764 0.000 0.955
Rb 8.821 0.000 4.064
Sb 5.292 0.000 2.509
Pt 5.299 0.000 0.000
```

The following is a PBE calculation of crystalline RbSbPt2 at its relaxed geometry, from Alexandria. Values from VASP.

Computed properties:
Distance to the lowest polymorph of the same formula   0.3826 eV/atom
SG   I-42d (122)
Uncorrected formation energy   0.065 eV/atom
Final energy   -4.228 eV/atom

Cell and atoms, written as Quantum ESPRESSO input:
```
&SYSTEM
  ibrav = 0, nat = 8, ntyp = 3
/
ATOMIC_SPECIES
Rb 85.47 Rb.upf
Sb 121.76 Sb.upf
Pt 195.08 Pt.upf
CELL_PARAMETERS angstrom
-4.017 4.017 4.021
4.017 -4.017 4.021
4.017 4.017 -4.021
ATOMIC_POSITIONS angstrom
Rb 0.000 0.000 0.000
Rb 0.000 4.017 2.010
Sb 4.017 0.000 2.010
Sb 0.000 0.000 4.021
Pt 2.009 -1.167 3.015
Pt 2.851 2.009 1.005
Pt 2.009 5.184 -1.005
Pt 1.167 2.009 5.026
```

The following is a PBE calculation of crystalline Rb3Sb4Pt4 at its relaxed geometry, from Alexandria. Values from VASP.

Computed properties:
SG   I-43m (217)
Uncorrected formation energy   -0.398 eV/atom
Final energy   -4.357 eV/atom

Cell and atoms, written as Quantum ESPRESSO input:
```
&SYSTEM
  ibrav = 0, nat = 11, ntyp = 3
/
ATOMIC_SPECIES
Rb 85.47 Rb.upf
Sb 121.76 Sb.upf
Pt 195.08 Pt.upf
CELL_PARAMETERS angstrom
-4.261 4.261 4.261
4.261 -4.261 4.261
4.261 4.261 -4.261
ATOMIC_POSITIONS angstrom
Rb 4.261 0.000 0.000
Rb 0.000 4.261 0.000
Rb 0.000 0.000 4.261
Sb 2.971 2.971 -2.971
Sb 2.971 -2.971 2.971
Sb 1.290 1.290 1.290
Sb -2.971 2.971 2.971
Pt 1.439 1.439 -1.439
Pt 1.439 -1.439 1.439
Pt -1.439 1.439 1.439
Pt 2.822 2.822 2.822
```

The following is a PBE calculation of crystalline Rb3Sb2Pt at its relaxed geometry, from Alexandria. Values from VASP.

Computed properties:
Distance to the lowest polymorph of the same formula   0.0000 eV/atom
SG   C2/c (15)
Uncorrected formation energy   -0.377 eV/atom
Final energy   -3.241 eV/atom

Cell and atoms, written as Quantum ESPRESSO input:
```
&SYSTEM
  ibrav = 0, nat = 12, ntyp = 3
/
ATOMIC_SPECIES
Rb 85.47 Rb.upf
Sb 121.76 Sb.upf
Pt 195.08 Pt.upf
CELL_PARAMETERS angstrom
4.826 -5.533 0.000
4.826 5.533 0.000
-1.659 0.000 9.424
ATOMIC_POSITIONS angstrom
Rb 3.582 4.943 7.068
Rb 3.821 1.506 0.597
Rb 5.001 1.506 4.115
Rb 2.992 -1.506 5.309
Rb 4.171 -1.506 8.827
Rb 4.411 -4.943 2.356
Sb 1.321 1.958 5.883
Sb 2.150 -1.958 1.171
Sb 5.842 1.958 8.253
Sb 6.672 -1.958 3.541
Pt 3.582 1.565 7.068
Pt 4.411 -1.565 2.356
```

The following is a PBE calculation of crystalline RbSbPt2 at its relaxed geometry, from Alexandria. Values from VASP.

Computed properties:
Distance to the lowest polymorph of the same formula   0.0454 eV/atom
SG   P2_1/c (14)
Uncorrected formation energy   -0.272 eV/atom
Final energy   -4.565 eV/atom

Cell and atoms, written as Quantum ESPRESSO input:
```
&SYSTEM
  ibrav = 0, nat = 16, ntyp = 3
/
ATOMIC_SPECIES
Rb 85.47 Rb.upf
Sb 121.76 Sb.upf
Pt 195.08 Pt.upf
CELL_PARAMETERS angstrom
6.703 0.000 0.000
0.000 9.572 0.000
-4.472 0.000 6.693
ATOMIC_POSITIONS angstrom
Rb 0.648 0.644 1.533
Rb -1.588 4.142 4.879
Rb 3.819 5.430 1.813
Rb 1.583 8.928 5.160
Sb 0.386 6.765 2.682
Sb -1.850 7.592 6.028
Sb 4.081 1.979 0.664
Sb 1.846 2.807 4.011
Pt 0.631 6.034 0.137
Pt -1.605 8.324 3.483
Pt -1.722 0.606 5.523
Pt 0.514 4.180 2.176
Pt 1.718 5.391 4.516
Pt 3.953 8.966 1.170
Pt 3.836 1.248 3.210
Pt 1.600 3.538 6.556
```

Question: The highest final energy belongs to which entry?
Answer: Rb3Sb2Pt

Repeat the sixth record exactly.
The following is a PBE calculation of crystalline RbSbPt2 at its relaxed geometry, from Alexandria. Values from VASP.

Computed properties:
Distance to the lowest polymorph of the same formula   0.0454 eV/atom
SG   P2_1/c (14)
Uncorrected formation energy   -0.272 eV/atom
Final energy   -4.565 eV/atom

Cell and atoms, written as Quantum ESPRESSO input:
```
&SYSTEM
  ibrav = 0, nat = 16, ntyp = 3
/
ATOMIC_SPECIES
Rb 85.47 Rb.upf
Sb 121.76 Sb.upf
Pt 195.08 Pt.upf
CELL_PARAMETERS angstrom
6.703 0.000 0.000
0.000 9.572 0.000
-4.472 0.000 6.693
ATOMIC_POSITIONS angstrom
Rb 0.648 0.644 1.533
Rb -1.588 4.142 4.879
Rb 3.819 5.430 1.813
Rb 1.583 8.928 5.160
Sb 0.386 6.765 2.682
Sb -1.850 7.592 6.028
Sb 4.081 1.979 0.664
Sb 1.846 2.807 4.011
Pt 0.631 6.034 0.137
Pt -1.605 8.324 3.483
Pt -1.722 0.606 5.523
Pt 0.514 4.180 2.176
Pt 1.718 5.391 4.516
Pt 3.953 8.966 1.170
Pt 3.836 1.248 3.210
Pt 1.600 3.538 6.556
```

Question: Which value of final energy does entry 2 give?
Answer: -3.401 eV/atom

Question: Which value of final energy does entry 2 give?
Answer: -3.401 eV/atom